InCo2W | Alexandria | GGA-PBE | optimized geometry; total energy = -6.9804 eV/atom; crystal system = trigonal
1.0
1.4218 0.8209 8.5883
-1.4218 0.8209 8.5883
0.0000 -1.6418 8.5883
In Co W
1 2 1
Direct
0.0000 0.0000 0.0000
0.2474 0.2474 0.2474
0.5103 0.5103 0.5103
0.7644 0.7644 0.7644